Record 1
{"formula": "Tm5ZrCu6", "functional": "PBE", "state": "optimized geometry", "spacegroup": "P2/m", "cell": [[-1.189, 4.632, 0.513], [-6.501, -1.739, 0.634], [0.254, 1.747, 7.398]], "species": ["Cu", "Cu", "Cu", "Cu", "Cu", "Cu", "Tm", "Tm", "Tm", "Tm", "Tm", "Zr"], "frac_coords": [[0.500, 0.769, 0.000], [0.500, 0.231, 0.000], [0.160, 0.243, 0.678], [0.840, 0.243, 0.322], [0.160, 0.757, 0.678], [0.840, 0.757, 0.322], [0.667, 0.500, 0.665], [0.333, 0.500, 0.335], [0.000, 0.500, 0.000], [0.667, 0.000, 0.665], [0.333, 0.000, 0.335], [0.000, 0.000, 0.000]]}

---

Record 2
{"formula": "Tm2ZrCu6", "functional": "PBE", "state": "optimized geometry", "spacegroup": "P6/mmm", "cell": [[-1.533, -2.850, -0.192], [6.485, -3.461, -0.402], [-3.113, 1.234, 6.556]], "species": ["Cu", "Cu", "Cu", "Cu", "Cu", "Cu", "Zr", "Tm", "Tm"], "frac_coords": [[0.500, 0.331, 0.331], [0.500, 0.331, 0.000], [0.500, 0.000, 0.331], [0.500, 0.669, 0.000], [0.500, 0.669, 0.669], [0.500, 0.000, 0.669], [0.000, 0.000, 0.000], [0.000, 0.333, 0.667], [0.000, 0.667, 0.333]]}

---

Record 3
{"formula": "TmZrCu", "functional": "PBE", "state": "optimized geometry", "spacegroup": "P4/nmm", "cell": [[4.622, 0.000, 0.000], [0.000, 4.622, 0.000], [0.000, 0.000, 6.534]], "species": ["Zr", "Zr", "Tm", "Tm", "Cu", "Cu"], "frac_coords": [[0.500, 0.500, 0.500], [0.000, 0.000, 0.500], [0.000, 0.000, 0.000], [0.500, 0.500, 0.000], [0.000, 0.500, 0.263], [0.500, 0.000, 0.737]]}

---

Record 4
{"formula": "TmZrCu2", "functional": "PBE", "state": "optimized geometry", "spacegroup": "P4/mmm", "cell": [[3.343, 0.000, 0.000], [0.000, 3.343, 0.000], [0.000, 0.000, 6.716]], "species": ["Cu", "Cu", "Tm", "Zr"], "frac_coords": [[0.000, 0.000, 0.231], [0.000, 0.000, 0.769], [0.500, 0.500, 0.500], [0.500, 0.500, 0.000]]}

---

Record 5
{"formula": "TmZrCu2", "functional": "PBE", "state": "optimized geometry", "spacegroup": "Fm-3m", "cell": [[-1.755, 0.474, 4.367], [0.323, -3.575, 3.080], [2.926, 0.325, 3.702]], "species": ["Tm", "Zr", "Cu", "Cu"], "frac_coords": [[0.000, 0.000, 0.000], [0.500, 0.500, 0.500], [0.250, 0.250, 0.250], [0.750, 0.750, 0.750]]}

---

Record 6
{"formula": "TmZrCu", "functional": "PBE", "state": "optimized geometry", "spacegroup": "I4mm", "cell": [[-0.063, 2.767, -1.828], [-3.274, -0.341, -0.403], [0.752, 1.928, 5.901]], "species": ["Zr", "Tm", "Cu"], "frac_coords": [[0.312, 0.312, 0.625], [0.011, 0.011, 0.023], [0.676, 0.676, 0.353]]}

---

Record 7
{"formula": "Tm5ZrCu4", "functional": "PBE", "state": "optimized geometry", "spacegroup": "P4/mmm", "cell": [[3.382, 0.000, 0.000], [0.000, 3.382, 0.000], [0.000, 0.000, 18.509]], "species": ["Tm", "Tm", "Tm", "Tm", "Tm", "Zr", "Cu", "Cu", "Cu", "Cu"], "frac_coords": [[0.500, 0.500, 0.312], [0.500, 0.500, 0.875], [0.500, 0.500, 0.500], [0.500, 0.500, 0.125], [0.500, 0.500, 0.688], [0.000, 0.000, 0.000], [0.000, 0.000, 0.781], [0.000, 0.000, 0.406], [0.000, 0.000, 0.219], [0.000, 0.000, 0.594]]}

---

Record 8
{"formula": "TmZrCu4", "functional": "PBE", "state": "optimized geometry", "spacegroup": "F-43m", "cell": [[5.134, 0.000, 0.000], [2.567, 4.446, 0.000], [2.567, 1.482, 4.192]], "species": ["Zr", "Cu", "Cu", "Cu", "Cu", "Tm"], "frac_coords": [[0.250, 0.250, 0.250], [0.624, 0.127, 0.624], [0.624, 0.624, 0.127], [0.127, 0.624, 0.624], [0.624, 0.624, 0.624], [0.000, 0.000, 0.000]]}

---

Record 9
{"formula": "Tm3ZrCu2", "functional": "PBE", "state": "optimized geometry", "spacegroup": "P4/mmm", "cell": [[-3.132, 0.757, -1.055], [-0.549, -3.268, -0.717], [-3.993, -1.666, 10.658]], "species": ["Tm", "Tm", "Tm", "Cu", "Cu", "Zr"], "frac_coords": [[0.000, 0.000, 0.000], [0.000, 0.000, 0.299], [0.000, 0.000, 0.701], [0.500, 0.500, 0.851], [0.500, 0.500, 0.149], [0.500, 0.500, 0.500]]}

---

Record 10
{"formula": "U3Cu", "functional": "PBE", "state": "optimized geometry", "spacegroup": "I4/mmm", "cell": [[-3.893, -0.204, 2.583], [0.157, -4.669, -0.213], [3.707, 2.372, 1.582]], "species": ["U", "U", "U", "Cu"], "frac_coords": [[0.250, 0.750, 0.500], [0.500, 0.500, 0.000], [0.750, 0.250, 0.500], [0.000, 0.000, 0.000]]}

---

Record 11
{"formula": "U4Cu", "functional": "PBE", "state": "optimized geometry", "spacegroup": "Pm-3m", "cell": [[-2.666, 2.331, -3.636], [-1.209, -4.504, -2.001], [-4.146, -0.185, 2.921]], "species": ["U", "U", "U", "U", "Cu"], "frac_coords": [[0.500, 0.000, 0.500], [0.000, 0.000, 0.000], [0.000, 0.500, 0.500], [0.500, 0.500, 0.000], [0.500, 0.500, 0.500]]}

---

Record 12
{"formula": "UV2Cu", "functional": "PBE", "state": "optimized geometry", "spacegroup": "P4/mmm", "cell": [[-1.846, 2.644, 0.171], [-1.367, -1.129, 2.699], [4.107, 2.662, 3.193]], "species": ["U", "Cu", "V", "V"], "frac_coords": [[0.500, 0.500, 0.500], [0.500, 0.500, 0.000], [0.000, 0.000, 0.737], [0.000, 0.000, 0.263]]}

---

Record 13
{"formula": "UV2Cu", "functional": "PBE", "state": "optimized geometry", "spacegroup": "R-3m", "cell": [[-2.563, 0.825, 0.392], [-2.019, -1.092, -1.461], [-2.686, -6.858, 6.305]], "species": ["V", "V", "Cu", "U"], "frac_coords": [[0.092, 0.092, 0.723], [0.908, 0.908, 0.277], [0.500, 0.500, 0.500], [0.000, 0.000, 0.000]]}

---

Record 14
{"formula": "UV2Cu", "functional": "PBE", "state": "optimized geometry", "spacegroup": "P4/mmm", "cell": [[-0.322, 3.071, -0.586], [-1.998, -0.929, -3.771], [-3.858, -0.013, 2.048]], "species": ["V", "V", "Cu", "U"], "frac_coords": [[0.000, 0.000, 0.500], [0.000, 0.500, 0.000], [0.500, 0.000, 0.000], [0.500, 0.500, 0.500]]}

---

Record 15
{"formula": "UZn11Cu", "functional": "PBE", "state": "optimized geometry", "spacegroup": "C2/m", "cell": [[-2.646, -4.005, -1.963], [3.723, -3.655, -4.320], [0.625, -5.608, 3.749]], "species": ["Zn", "Zn", "Zn", "Zn", "Zn", "Zn", "Zn", "Zn", "Zn", "Zn", "Zn", "U", "Cu"], "frac_coords": [[0.000, 0.500, 0.000], [0.500, 0.000, 0.500], [0.000, 0.000, 0.500], [0.987, 0.355, 0.651], [0.013, 0.645, 0.349], [0.362, 0.645, 0.651], [0.713, 0.781, 0.785], [0.287, 0.219, 0.215], [0.638, 0.355, 0.349], [0.498, 0.781, 0.215], [0.502, 0.219, 0.785], [0.000, 0.000, 0.000], [0.500, 0.500, 0.000]]}

---

Record 16
{"formula": "UZn7Cu5", "functional": "PBE", "state": "optimized geometry", "spacegroup": "Imm2", "cell": [[4.555, 0.000, 1.871], [2.293, 6.241, 0.897], [-0.093, -0.021, 6.708]], "species": ["Zn", "Zn", "Zn", "Zn", "Zn", "Zn", "Zn", "U", "Cu", "Cu", "Cu", "Cu", "Cu"], "frac_coords": [[0.500, 0.215, 0.786], [0.659, 0.341, 0.341], [0.353, 0.647, 0.647], [0.500, 0.786, 0.215], [0.994, 0.355, 0.656], [0.994, 0.656, 0.355], [0.282, 0.218, 0.218], [0.010, 0.990, 0.990], [0.497, 0.001, 0.504], [0.998, 0.504, 0.001], [0.497, 0.504, 0.001], [0.718, 0.782, 0.782], [0.998, 0.001, 0.504]]}

---

Record 17
{"formula": "U2Zn16Cu", "functional": "PBE", "state": "optimized geometry", "spacegroup": "R3m", "cell": [[6.726, 0.046, 0.810], [0.723, 6.687, 0.810], [0.051, 0.046, 6.774]], "species": ["Zn", "Zn", "Zn", "Zn", "Zn", "Zn", "Zn", "Zn", "Zn", "Zn", "Zn", "Zn", "Zn", "Zn", "Zn", "Zn", "U", "U", "Cu"], "frac_coords": [[0.157, 0.648, 0.648], [0.648, 0.648, 0.157], [0.997, 0.506, 0.997], [0.841, 0.354, 0.354], [0.997, 0.997, 0.506], [0.293, 0.000, 0.706], [0.000, 0.706, 0.293], [0.706, 0.293, 0.000], [0.706, 0.000, 0.293], [0.506, 0.997, 0.997], [0.354, 0.354, 0.841], [0.293, 0.706, 0.000], [0.648, 0.157, 0.648], [0.354, 0.841, 0.354], [0.000, 0.293, 0.706], [0.100, 0.100, 0.100], [0.663, 0.663, 0.663], [0.339, 0.339, 0.339], [0.897, 0.897, 0.897]]}

---

Record 18
{"formula": "UZn10Cu2", "functional": "PBE", "state": "optimized geometry", "spacegroup": "Cmcm", "cell": [[6.797, 0.018, 0.000], [-0.989, 6.725, 0.000], [0.000, 0.000, 8.750]], "species": ["Zn", "Zn", "Zn", "Zn", "Zn", "Zn", "Zn", "Zn", "Zn", "Zn", "Zn", "Zn", "Zn", "Zn", "Zn", "Zn", "Zn", "Zn", "Zn", "Zn", "Cu", "Cu", "Cu", "Cu", "U", "U"], "frac_coords": [[0.773, 0.527, 0.250], [0.777, 0.777, 0.000], [0.379, 0.621, 0.448], [0.844, 0.156, 0.399], [0.777, 0.777, 0.500], [0.473, 0.227, 0.250], [0.527, 0.773, 0.750], [0.400, 0.140, 0.750], [0.156, 0.844, 0.601], [0.860, 0.600, 0.750], [0.140, 0.400, 0.250], [0.156, 0.844, 0.899], [0.223, 0.223, 0.000], [0.621, 0.379, 0.948], [0.844, 0.156, 0.101], [0.621, 0.379, 0.552], [0.227, 0.473, 0.750], [0.223, 0.223, 0.500], [0.379, 0.621, 0.052], [0.600, 0.860, 0.250], [0.000, 0.500, 0.000], [0.500, 0.000, 0.500], [0.000, 0.500, 0.500], [0.500, 0.000, 0.000], [0.122, 0.878, 0.250], [0.878, 0.122, 0.750]]}

---

Record 19
{"formula": "U2Zn15Cu2", "functional": "PBE", "state": "optimized geometry", "spacegroup": "R-3m", "cell": [[-2.233, -2.739, -5.756], [5.897, -0.016, -3.294], [1.729, -6.387, 1.355]], "species": ["Zn", "Zn", "Zn", "Zn", "Zn", "Zn", "Zn", "Zn", "Zn", "Zn", "Zn", "Zn", "Zn", "Zn", "Zn", "U", "U", "Cu", "Cu"], "frac_coords": [[0.290, 0.710, 0.000], [0.710, 0.000, 0.290], [0.290, 0.000, 0.710], [0.000, 0.000, 0.500], [0.000, 0.290, 0.710], [0.845, 0.352, 0.352], [0.500, 0.000, 0.000], [0.710, 0.290, 0.000], [0.648, 0.648, 0.155], [0.000, 0.710, 0.290], [0.648, 0.155, 0.648], [0.352, 0.352, 0.845], [0.352, 0.845, 0.352], [0.155, 0.648, 0.648], [0.000, 0.500, 0.000], [0.661, 0.661, 0.661], [0.339, 0.339, 0.339], [0.895, 0.895, 0.895], [0.105, 0.105, 0.105]]}

---

Record 20
{"formula": "UZnCu", "functional": "PBE", "state": "optimized geometry", "spacegroup": "P-6m2", "cell": [[2.833, 0.000, 0.000], [0.000, 4.635, 0.000], [0.000, -2.317, 4.014]], "species": ["U", "Cu", "Zn"], "frac_coords": [[0.667, 0.333, 0.667], [0.166, 0.667, 0.333], [0.167, 0.000, 0.000]]}

---

Record 21
{"formula": "UZn2Cu", "functional": "PBE", "state": "optimized geometry", "spacegroup": "P4/mmm", "cell": [[2.745, 0.000, 0.000], [0.000, 2.745, 0.000], [0.000, 0.000, 8.328]], "species": ["Zn", "Zn", "Cu", "U"], "frac_coords": [[0.000, 0.000, 0.794], [0.000, 0.000, 0.206], [0.500, 0.500, 0.000], [0.500, 0.500, 0.500]]}

---

Record 22
{"formula": "UZnCu", "functional": "PBE", "state": "optimized geometry", "spacegroup": "P4/nmm", "cell": [[0.351, 1.833, -2.024], [-2.728, 0.319, -0.184], [0.508, 9.184, 8.405]], "species": ["Cu", "Cu", "Zn", "Zn", "U", "U"], "frac_coords": [[0.627, 0.627, 0.719], [0.127, 0.127, 0.588], [0.127, 0.127, 0.854], [0.626, 0.626, 0.453], [0.626, 0.626, 0.050], [0.126, 0.126, 0.257]]}

---

Record 23
{"formula": "UZn17Cu", "functional": "PBE", "state": "optimized geometry", "spacegroup": "R3m", "cell": [[6.758, 0.072, 0.878], [0.780, 6.713, 0.878], [0.080, 0.072, 6.814]], "species": ["Zn", "Zn", "Zn", "Zn", "Zn", "Zn", "Zn", "Zn", "Zn", "Zn", "Zn", "Zn", "Zn", "Zn", "Zn", "Zn", "Zn", "Cu", "U"], "frac_coords": [[0.345, 0.838, 0.345], [0.986, 0.496, 0.986], [0.345, 0.345, 0.838], [0.645, 0.153, 0.645], [0.002, 0.296, 0.683], [0.296, 0.002, 0.683], [0.153, 0.645, 0.645], [0.496, 0.986, 0.986], [0.986, 0.986, 0.496], [0.296, 0.683, 0.002], [0.099, 0.099, 0.099], [0.683, 0.296, 0.002], [0.683, 0.002, 0.296], [0.838, 0.345, 0.345], [0.897, 0.897, 0.897], [0.645, 0.645, 0.153], [0.002, 0.683, 0.296], [0.443, 0.443, 0.443], [0.660, 0.660, 0.660]]}

---

Record 24
{"formula": "UZnCu", "functional": "PBE", "state": "optimized geometry", "spacegroup": "I4mm", "cell": [[2.764, 0.000, 0.000], [0.000, 2.764, 0.000], [-1.382, -1.382, 6.368]], "species": ["Zn", "Cu", "U"], "frac_coords": [[0.313, 0.313, 0.626], [0.683, 0.683, 0.366], [0.004, 0.004, 0.008]]}

---

V for the records above, in order: 234.5, 152.2, 139.6, 75.1, 74.8, 63.8, 211.8, 95.7, 132.2, 72.7, 130.7, 60.9, 61.3, 60.0, 203.6, 191.8, 304.0, 400.2, 301.2, 52.7, 62.7, 94.4, 307.9, 48.7 Å³ per cell
E_tot for the records above, in order: -58.43, -43.90, -16.57, -21.89, -21.77, -17.40, -49.47, -30.10, -31.19, -37.23, -42.40, -32.27, -31.56, -32.61, -29.95, -41.09, -47.88, -32.99, -50.52, -16.47, -18.01, -16.62, -36.88, -16.48 eV/f.u.